Record 1
Ta2CuGeBi: optimized geometry, PBE.

```
Ta2CuGeBi
1.0
4.932 0.000 0.000
0.000 4.932 0.000
0.000 0.000 4.352
Ta Cu Ge Bi
2 1 1 1
direct
0.000 0.500 0.000
0.500 0.000 0.000
0.000 0.000 0.500
0.000 0.000 0.000
0.500 0.500 0.500
```

## Properties
Its formation energy is 4.3 eV/f.u. The symmetry is No. 123. The value obtained for the energy above the most stable polymorph in this dataset is 0.000 kcal/mol of atoms. The calculation puts the total energy at -6.404 eV/atom.



Record 2
TaAlCo: optimized geometry, PBE.

```
TaAlCo
1.0
-1.438 1.438 5.125
1.438 -1.438 5.125
1.438 1.438 -5.125
Ta Al Co
1 1 1
direct
0.000 0.000 0.000
0.696 0.696 0.000
0.333 0.333 0.000
```

## Properties
Its formation energy is -1.0 eV/f.u. The symmetry is No. 107. The calculation puts the total energy at -7.900 eV/atom.



Record 3
PmYInRu: optimized geometry, PBE.

```
PmYInRu
1.0
0.000 3.631 3.631
3.631 0.000 3.631
3.631 3.631 0.000
Pm Y In Ru
1 1 1 1
direct
0.000 0.000 0.000
0.500 0.500 0.500
0.250 0.250 0.250
0.750 0.750 0.750
```

## Properties
Its formation energy is -1.1 eV/f.u. The symmetry is No. 216. The calculation puts the total energy at -6.091 eV/atom.



Record 4
NdMn4: optimized geometry, PBE.

```
NdMn4
1.0
4.957 0.000 0.000
0.000 4.957 0.000
0.000 0.000 4.957
Nd Mn
1 4
direct
0.000 0.000 0.000
0.000 0.000 0.500
0.000 0.500 0.000
0.500 0.000 0.000
0.500 0.500 0.500
```

## Properties
Its formation energy is 9.1 eV/f.u. The symmetry is No. 221. The calculation puts the total energy at -6.477 eV/atom.



Record 5
SiOsO3: optimized geometry, PBE.

```
SiOsO3
1.0
3.892 0.000 0.000
0.000 3.892 0.000
0.000 0.000 3.892
Si Os O
1 1 3
direct
0.000 0.000 0.000
0.500 0.500 0.500
0.000 0.500 0.500
0.500 0.000 0.500
0.500 0.500 0.000
```

## Properties
The symmetry is No. 221. The calculation puts the total energy at -6.581 eV/atom. The formation energy (no corrections) is -0.28 eV per atom.



Record 6
Zr2AgBiH: optimized geometry, PBE.

```
Zr2AgBiH
1.0
4.405 0.000 0.000
0.000 4.405 0.000
0.000 0.000 4.615
Zr Ag Bi H
2 1 1 1
direct
0.000 0.500 0.000
0.500 0.000 0.000
0.000 0.000 0.500
0.500 0.500 0.500
0.000 0.000 0.000
```

## Properties
The symmetry is No. 123. The calculation puts the total energy at -5.643 eV/atom.



Record 7
MnHgPBr: optimized geometry, PBE.

```
MnHgPBr
1.0
3.441 0.000 0.000
1.720 2.981 0.000
1.587 0.657 9.537
Mn Hg P Br
1 1 1 1
direct
0.000 0.000 0.000
0.182 0.241 0.432
0.288 0.305 0.131
0.729 0.705 0.822
```

## Properties
The symmetry is No. 1. The value obtained for the energy above the most stable polymorph in this dataset is 0.000 kcal/mol of atoms. The calculation puts the total energy at -4.324 eV/atom. The formation energy (no corrections) is -0.19 eV per atom.



Record 8
BC5: optimized geometry, PBE.

```
BC5
1.0
4.277 -1.257 0.000
4.277 1.257 0.000
-3.224 0.000 6.725
B C
2 10
direct
0.000 0.000 0.000
0.671 0.671 0.831
0.004 0.004 0.488
0.171 0.171 0.681
0.172 0.172 0.209
0.336 0.336 0.165
0.336 0.336 0.650
0.494 0.494 0.849
0.505 0.505 0.367
0.672 0.672 0.327
0.833 0.833 0.047
0.839 0.839 0.528
```

## Properties
Its formation energy is 1.5 eV/f.u. The symmetry is No. 8. The value obtained for the energy above the most stable polymorph in this dataset is 0.912 kcal/mol of atoms. The calculation puts the total energy at -8.551 eV/atom.



Record 9
Ga2AsI: optimized geometry, PBE.

```
Ga2AsI
1.0
0.000 3.658 3.658
3.658 0.000 3.658
3.658 3.658 0.000
Ga As I
2 1 1
direct
0.250 0.250 0.250
0.750 0.750 0.750
0.000 0.000 0.000
0.500 0.500 0.500
```

## Properties
The symmetry is No. 225. The value obtained for the energy above the most stable polymorph in this dataset is 8.805 kcal/mol of atoms. The calculation puts the total energy at -2.821 eV/atom. The formation energy (no corrections) is 0.24 eV per atom.



Record 10
Pu2Tl3CrTe6: optimized geometry, PBE.

```
Pu2Tl3CrTe6
1.0
3.778 -6.543 0.000
3.778 6.543 0.000
-2.540 0.000 8.104
Pu Tl Cr Te
2 3 1 6
direct
0.165 0.835 0.000
0.835 0.165 0.000
0.000 0.000 0.500
0.324 0.676 0.500
0.676 0.324 0.500
0.500 0.500 0.000
0.124 0.434 0.798
0.261 0.261 0.212
0.434 0.124 0.798
0.566 0.876 0.202
0.739 0.739 0.788
0.876 0.566 0.202
```

## Properties
The symmetry is No. 12. The calculation puts the total energy at -5.927 eV/atom. The formation energy (no corrections) is -0.57 eV per atom.



Record 11
Ac2Cu3Si: optimized geometry, PBE.

```
Ac2Cu3Si
1.0
0.000 4.353 7.492
4.278 0.000 7.492
4.278 4.353 0.000
Ac Cu Si
4 6 2
direct
0.238 0.762 0.762
0.250 0.250 0.250
0.750 0.750 0.750
0.762 0.238 0.238
0.172 0.172 0.828
0.172 0.658 0.342
0.342 0.828 0.172
0.658 0.172 0.828
0.828 0.342 0.658
0.828 0.828 0.172
0.335 0.335 0.665
0.665 0.665 0.335
```

## Properties
The symmetry is No. 69. The calculation puts the total energy at -4.656 eV/atom. The formation energy (no corrections) is -0.33 eV per atom.



Record 12
Y19Tm4Sc6: optimized geometry, PBE.

```
Y19Tm4Sc6
1.0
-6.143 6.143 6.143
6.143 -6.143 6.143
6.143 6.143 -6.143
Y Tm Sc
19 4 6
direct
0.000 0.000 0.000
0.000 0.266 0.266
0.000 0.734 0.734
0.008 0.224 0.667
0.217 0.992 0.660
0.224 0.667 0.008
0.266 0.000 0.266
0.266 0.266 0.000
0.333 0.557 0.340
0.340 0.333 0.557
0.443 0.776 0.783
0.557 0.340 0.333
0.660 0.217 0.992
0.667 0.008 0.224
0.734 0.000 0.734
0.734 0.734 0.000
0.776 0.783 0.443
0.783 0.443 0.776
0.992 0.660 0.217
0.000 0.000 0.357
0.000 0.357 0.000
0.357 0.000 0.000
0.643 0.643 0.643
0.116 0.500 0.616
0.384 0.884 0.500
0.500 0.384 0.884
0.500 0.616 0.116
0.616 0.116 0.500
0.884 0.500 0.384
```

## Properties
Its formation energy is 11.1 eV/f.u. The symmetry is No. 197. The calculation puts the total energy at -5.777 eV/atom.



Record 13
Ir2OsO6: optimized geometry, PBE.

```
Ir2OsO6
1.0
5.104 0.000 0.000
-2.552 4.420 0.000
0.000 0.000 4.305
Ir Os O
2 1 6
direct
0.333 0.667 0.000
0.667 0.333 0.000
0.000 0.000 0.500
0.000 0.331 0.746
0.000 0.669 0.254
0.331 0.000 0.746
0.331 0.331 0.254
0.669 0.000 0.254
0.669 0.669 0.746
```

## Properties
The symmetry is No. 162. The calculation puts the total energy at -7.218 eV/atom. The formation energy (no corrections) is -0.70 eV per atom.



What did we get for density? Answer: 11.09, 10.45, 7.80, 4.96, 7.50, 9.28, 6.22, 3.25, 5.79, 7.95, 8.01, 4.72, 11.47 g/cm³, in the order shown.